PBE Zr2AlI, optimized geometry; magnetization = 0.0 μB/f.u.; offset from the most stable computed form = 0.00 eV/f.u.; mass density = 6.3 g/cm3
1.0
0.000 3.530 3.530
3.530 0.000 3.530
3.530 3.530 0.000
I Al Zr
1 1 2
Direct
0.500 0.500 0.500 I
0.000 0.000 0.000 Al
0.250 0.250 0.250 Zr
0.750 0.750 0.750 Zr

=====

PBE ZrAlI2, optimized geometry; magnetization = 0.0 μB/f.u.; offset from the most stable computed form = 0.53 eV/f.u.; mass density = 6.2 g/cm3
1.0
0.000 3.680 3.680
3.680 0.000 3.680
3.680 3.680 0.000
I Al Zr
2 1 1
Direct
0.250 0.250 0.250 I
0.750 0.750 0.750 I
0.000 0.000 0.000 Al
0.500 0.500 0.500 Zr

=====

PBE ZrAl2I, optimized geometry; magnetization = 0.0 μB/f.u.; mass density = 4.8 g/cm3
1.0
8.059 0.000 0.000
0.000 8.059 0.000
4.030 4.030 2.929
I Al Zr
2 4 2
Direct
0.000 0.000 0.000 I
0.750 0.250 0.500 I
0.611 0.125 0.250 Al
0.139 0.625 0.250 Al
0.375 0.389 0.750 Al
0.875 0.861 0.750 Al
0.500 0.500 0.000 Zr
0.250 0.750 0.500 Zr

=====

PBE ZrAlI2, optimized geometry; magnetization = 0.0 μB/f.u.; offset from the most stable computed form = 0.00 eV/f.u.; mass density = 4.0 g/cm3
1.0
-1.941 6.802 7.703
-10.090 0.225 -2.740
-6.538 1.380 4.233
I Al Zr
4 2 2
Direct
0.780 0.125 0.250 I
0.970 0.625 0.250 I
0.375 0.220 0.750 I
0.875 0.030 0.750 I
0.500 0.500 0.000 Al
0.250 0.750 0.500 Al
0.000 0.000 0.000 Zr
0.750 0.250 0.500 Zr

=====

Respective formation energy (no corrections) values: 50 138 415 4 meV/atom.